# 1
Material: NaAgP2
Method: DFT, PBE
State: optimized geometry

Structure (POSCAR):
```
NaAgP2
1.0
6.578 0.000 0.000
0.000 6.578 0.000
0.000 0.000 6.578
Na Ag P
4 4 8
Direct
0.000 0.000 0.000
0.000 0.500 0.500
0.500 0.000 0.500
0.500 0.500 0.000
0.000 0.000 0.500
0.000 0.500 0.000
0.500 0.000 0.000
0.500 0.500 0.500
0.250 0.250 0.250
0.250 0.250 0.750
0.250 0.750 0.250
0.250 0.750 0.750
0.750 0.250 0.250
0.750 0.250 0.750
0.750 0.750 0.250
0.750 0.750 0.750
```

Values from the calculation:
Size of the total moment, Bohr magnetons per cell: 0.0
Relative energy among the computed polymorphs, eV per atom: 0.219
Energy of formation, meV per atom: 341

=====

# 2
Material: Cd3PbO4
Method: DFT, PBE
State: optimized geometry

Structure (POSCAR):
```
Cd3PbO4
1.0
7.467 0.000 0.000
0.000 6.463 0.000
0.000 0.000 6.021
Cd Pb O
6 2 8
Direct
0.000 0.174 0.000
0.249 0.665 0.001
0.251 0.335 0.501
0.500 0.826 0.500
0.749 0.335 0.501
0.751 0.665 0.001
0.000 0.836 0.499
0.500 0.164 0.999
0.000 0.184 0.627
0.000 0.838 0.097
0.241 0.340 0.128
0.259 0.660 0.628
0.500 0.162 0.597
0.500 0.816 0.127
0.741 0.660 0.628
0.759 0.340 0.128
```

Values from the calculation:
Size of the total moment, Bohr magnetons per cell: 0.0
E_form (uncorrected), eV per atom: -1.011
Relative energy among the computed polymorphs, eV per atom: 0.000

=====

# 3
Material: SmHo6Pd2
Method: DFT, PBE
State: optimized geometry

Structure (POSCAR):
```
SmHo6Pd2
1.0
5.644 -2.670 0.000
5.644 2.670 0.000
-5.587 0.000 8.056
Sm Ho Pd
1 6 2
Direct
0.000 0.000 0.000
0.118 0.118 0.435
0.288 0.288 0.924
0.364 0.364 0.317
0.636 0.636 0.683
0.712 0.712 0.076
0.882 0.882 0.565
0.415 0.415 0.739
0.585 0.585 0.261
```

Values from the calculation:
Size of the total moment, Bohr magnetons per cell: 0.0
Energy of formation, meV per atom: -344

=====

| no. | calculated density (g/cm³) |
| --- | --- |
| 1 | 4.5 |
| 2 | 7.0 |
| 3 | 9.3 |